SeBrO2F | PBE | optimized geometry

## Properties
- Fermi-level density of states (states/eV/cell) = 2.13
- crystal system = tetragonal
- uncorrected formation energy (eV/atom) = 0.0383
- total moment (μB/f.u.) = 1.99

Cell lengths 4.0008, 4.0008, 4.3482 Å; angles 90.00, 90.00, 90.00 degrees
Atoms (fractional coordinates):
Se: 0.0000 0.0000 0.0000
Br: 0.5000 0.5000 0.5000
O: 0.0000 0.5000 0.0000
O: 0.5000 0.0000 0.0000
F: 0.0000 0.0000 0.5000

SeBrO2F | PBE | optimized geometry

## Properties
- Fermi-level density of states (states/eV/cell) = 3.83
- crystal system = tetragonal
- uncorrected formation energy (eV/atom) = 0.5972
- total moment (μB/f.u.) = 2.42

Cell lengths 3.8156, 3.8156, 5.8020 Å; angles 90.00, 90.00, 90.00 degrees
Atoms (fractional coordinates):
Se: 0.0000 0.0000 0.0000
Br: 0.5000 0.5000 0.5000
O: 0.0000 0.5000 0.5000
O: 0.5000 0.0000 0.5000
F: 0.5000 0.5000 0.0000

Se2BrOF | PBE | optimized geometry

## Properties
- Fermi-level density of states (states/eV/cell) = 7.30
- crystal system = tetragonal
- polymorph energy (0 for the lowest one) (meV/atom) = 503
- uncorrected formation energy (eV/atom) = 1.0078
- total moment (μB/f.u.) = 1.15

Cell lengths 4.2938, 4.2938, 6.1594 Å; angles 90.00, 90.00, 90.00 degrees
Atoms (fractional coordinates):
Se: 0.0000 0.5000 0.0000
Se: 0.5000 0.0000 0.0000
Br: 0.0000 0.0000 0.5000
O: 0.5000 0.5000 0.5000
F: 0.0000 0.0000 0.0000

SiBrOF2 | PBE | optimized geometry

## Properties
- Fermi-level density of states (states/eV/cell) = 3.28
- crystal system = tetragonal
- polymorph energy (0 for the lowest one) (meV/atom) = 1400
- uncorrected formation energy (eV/atom) = 0.2247
- total moment (μB/f.u.) = 0.00

Cell lengths 4.5599, 4.5599, 4.0381 Å; angles 90.00, 90.00, 90.00 degrees
Atoms (fractional coordinates):
Si: 0.0000 0.0000 0.0000
Br: 0.5000 0.5000 0.5000
O: 0.5000 0.5000 0.0000
F: 0.0000 0.5000 0.5000
F: 0.5000 0.0000 0.5000

SiBrOF2 | PBE | optimized geometry

## Properties
- Fermi-level density of states (states/eV/cell) = 2.80
- crystal system = tetragonal
- polymorph energy (0 for the lowest one) (meV/atom) = 0
- uncorrected formation energy (eV/atom) = -1.1750
- total moment (μB/f.u.) = 1.01

Cell lengths 4.2823, 4.2823, 3.2903 Å; angles 90.00, 90.00, 90.00 degrees
Atoms (fractional coordinates):
Si: 0.0000 0.0000 0.0000
Br: 0.5000 0.5000 0.5000
O: 0.0000 0.0000 0.5000
F: 0.0000 0.5000 0.0000
F: 0.5000 0.0000 0.0000

SiBr2OF | PBE | optimized geometry

## Properties
- Fermi-level density of states (states/eV/cell) = 3.96
- crystal system = tetragonal
- uncorrected formation energy (eV/atom) = -0.1753
- total moment (μB/f.u.) = 2.04

Cell lengths 5.0412, 5.0412, 3.8146 Å; angles 90.00, 90.00, 90.00 degrees
Atoms (fractional coordinates):
Si: 0.0000 0.0000 0.0000
Br: 0.0000 0.5000 0.0000
Br: 0.5000 0.0000 0.0000
O: 0.5000 0.5000 0.5000
F: 0.0000 0.0000 0.5000

SnBrO2F | PBE | optimized geometry

## Properties
- Fermi-level density of states (states/eV/cell) = 2.56
- crystal system = tetragonal
- uncorrected formation energy (eV/atom) = -0.7558
- total moment (μB/f.u.) = 2.00

Cell lengths 4.1302, 4.1302, 4.2513 Å; angles 90.00, 90.00, 90.00 degrees
Atoms (fractional coordinates):
Sn: 0.0000 0.0000 0.0000
Br: 0.5000 0.5000 0.5000
O: 0.0000 0.5000 0.0000
O: 0.5000 0.0000 0.0000
F: 0.0000 0.0000 0.5000

SnBrO2F | PBE | optimized geometry

## Properties
- Fermi-level density of states (states/eV/cell) = 2.46
- crystal system = tetragonal
- uncorrected formation energy (eV/atom) = -0.1592
- total moment (μB/f.u.) = 0.00

Cell lengths 3.9573, 3.9573, 5.2333 Å; angles 90.00, 90.00, 90.00 degrees
Atoms (fractional coordinates):
Sn: 0.0000 0.0000 0.0000
Br: 0.5000 0.5000 0.5000
O: 0.0000 0.5000 0.5000
O: 0.5000 0.0000 0.5000
F: 0.5000 0.5000 0.0000

SrBrO2F | PBE | optimized geometry

## Properties
- Fermi-level density of states (states/eV/cell) = 1.46
- crystal system = tetragonal
- uncorrected formation energy (eV/atom) = -0.7882
- total moment (μB/f.u.) = 4.00

Cell lengths 5.1705, 5.1705, 4.5515 Å; angles 90.00, 90.00, 90.00 degrees
Atoms (fractional coordinates):
Sr: 0.0000 0.0000 0.0000
Br: 0.5000 0.5000 0.5000
O: 0.0000 0.5000 0.0000
O: 0.5000 0.0000 0.0000
F: 0.0000 0.0000 0.5000

SrBrOF2 | PBE | optimized geometry

## Properties
- Fermi-level density of states (states/eV/cell) = 1.95
- crystal system = tetragonal
- polymorph energy (0 for the lowest one) (meV/atom) = 91
- uncorrected formation energy (eV/atom) = -1.3692
- total moment (μB/f.u.) = 0.00

Cell lengths 4.7473, 4.7473, 4.0959 Å; angles 90.00, 90.00, 90.00 degrees
Atoms (fractional coordinates):
Sr: 0.0000 0.0000 0.0000
Br: 0.5000 0.5000 0.5000
O: 0.5000 0.5000 0.0000
F: 0.0000 0.5000 0.5000
F: 0.5000 0.0000 0.5000

SrBrOF2 | PBE | optimized geometry

## Properties
- Fermi-level density of states (states/eV/cell) = 0.54
- crystal system = tetragonal
- polymorph energy (0 for the lowest one) (meV/atom) = 0
- uncorrected formation energy (eV/atom) = -1.4603
- total moment (μB/f.u.) = 3.00

Cell lengths 4.6881, 4.6881, 5.3032 Å; angles 90.00, 90.00, 90.00 degrees
Atoms (fractional coordinates):
Sr: 0.0000 0.0000 0.0000
Br: 0.5000 0.5000 0.5000
O: 0.0000 0.0000 0.5000
F: 0.0000 0.5000 0.0000
F: 0.5000 0.0000 0.0000

SrBrO2F | PBE | optimized geometry

## Properties
- Fermi-level density of states (states/eV/cell) = 1.26
- crystal system = tetragonal
- uncorrected formation energy (eV/atom) = -1.1553
- total moment (μB/f.u.) = 0.00

Cell lengths 4.0073, 4.0073, 5.1295 Å; angles 90.00, 90.00, 90.00 degrees
Atoms (fractional coordinates):
Sr: 0.0000 0.0000 0.0000
Br: 0.5000 0.5000 0.5000
O: 0.0000 0.5000 0.5000
O: 0.5000 0.0000 0.5000
F: 0.5000 0.5000 0.0000

TaBrOF2 | PBE | optimized geometry

## Properties
- Fermi-level density of states (states/eV/cell) = 5.12
- crystal system = tetragonal
- polymorph energy (0 for the lowest one) (meV/atom) = 2523
- uncorrected formation energy (eV/atom) = 0.6302
- total moment (μB/f.u.) = 2.65

Cell lengths 5.0018, 5.0018, 3.5831 Å; angles 90.00, 90.00, 90.00 degrees
Atoms (fractional coordinates):
Ta: 0.0000 0.0000 0.0000
Br: 0.5000 0.5000 0.5000
O: 0.5000 0.5000 0.0000
F: 0.0000 0.5000 0.5000
F: 0.5000 0.0000 0.5000

TaBrO2F | PBE | optimized geometry

## Properties
- Fermi-level density of states (states/eV/cell) = 5.52
- crystal system = tetragonal
- uncorrected formation energy (eV/atom) = 0.8193
- total moment (μB/f.u.) = 2.93

Cell lengths 3.8559, 3.8559, 5.2696 Å; angles 90.00, 90.00, 90.00 degrees
Atoms (fractional coordinates):
Ta: 0.0000 0.0000 0.0000
Br: 0.5000 0.5000 0.5000
O: 0.0000 0.5000 0.5000
O: 0.5000 0.0000 0.5000
F: 0.5000 0.5000 0.0000

TaBrOF2 | PBE | optimized geometry

## Properties
- Fermi-level density of states (states/eV/cell) = 2.15
- crystal system = tetragonal
- polymorph energy (0 for the lowest one) (meV/atom) = 0
- uncorrected formation energy (eV/atom) = -1.8930
- total moment (μB/f.u.) = 0.00

Cell lengths 4.2322, 4.2322, 3.9149 Å; angles 90.00, 90.00, 90.00 degrees
Atoms (fractional coordinates):
Ta: 0.0000 0.0000 0.0000
Br: 0.5000 0.5000 0.5000
O: 0.0000 0.0000 0.5000
F: 0.0000 0.5000 0.0000
F: 0.5000 0.0000 0.0000

TaBrO2F | PBE | optimized geometry

## Properties
- Fermi-level density of states (states/eV/cell) = 3.14
- crystal system = tetragonal
- uncorrected formation energy (eV/atom) = -1.7385
- total moment (μB/f.u.) = 1.01

Cell lengths 4.0022, 4.0022, 4.2731 Å; angles 90.00, 90.00, 90.00 degrees
Atoms (fractional coordinates):
Ta: 0.0000 0.0000 0.0000
Br: 0.5000 0.5000 0.5000
O: 0.0000 0.5000 0.0000
O: 0.5000 0.0000 0.0000
F: 0.0000 0.0000 0.5000

TiBrOF2 | PBE | optimized geometry

## Properties
- Fermi-level density of states (states/eV/cell) = 5.61
- crystal system = tetragonal
- polymorph energy (0 for the lowest one) (meV/atom) = 1807
- uncorrected formation energy (eV/atom) = -0.1414
- total moment (μB/f.u.) = 2.26

Cell lengths 4.8782, 4.8782, 3.7232 Å; angles 90.00, 90.00, 90.00 degrees
Atoms (fractional coordinates):
Ti: 0.0000 0.0000 0.0000
Br: 0.5000 0.5000 0.5000
O: 0.5000 0.5000 0.0000
F: 0.0000 0.5000 0.5000
F: 0.5000 0.0000 0.5000

TiBrO2F | PBE | optimized geometry

## Properties
- Fermi-level density of states (states/eV/cell) = 7.16
- crystal system = tetragonal
- uncorrected formation energy (eV/atom) = 0.1789
- total moment (μB/f.u.) = 0.12

Cell lengths 3.9179, 3.9179, 5.0266 Å; angles 90.00, 90.00, 90.00 degrees
Atoms (fractional coordinates):
Ti: 0.0000 0.0000 0.0000
Br: 0.5000 0.5000 0.5000
O: 0.0000 0.5000 0.5000
O: 0.5000 0.0000 0.5000
F: 0.5000 0.5000 0.0000

TiBrO2F | PBE | optimized geometry

## Properties
- Fermi-level density of states (states/eV/cell) = 2.20
- crystal system = tetragonal
- uncorrected formation energy (eV/atom) = -1.5935
- total moment (μB/f.u.) = 1.89

Cell lengths 3.9627, 3.9627, 4.0717 Å; angles 90.00, 90.00, 90.00 degrees
Atoms (fractional coordinates):
Ti: 0.0000 0.0000 0.0000
Br: 0.5000 0.5000 0.5000
O: 0.0000 0.5000 0.0000
O: 0.5000 0.0000 0.0000
F: 0.0000 0.0000 0.5000

TiBrOF2 | PBE | optimized geometry

## Properties
- Fermi-level density of states (states/eV/cell) = 4.56
- crystal system = tetragonal
- polymorph energy (0 for the lowest one) (meV/atom) = 0
- uncorrected formation energy (eV/atom) = -1.9487
- total moment (μB/f.u.) = 1.00

Cell lengths 4.1585, 4.1585, 3.8481 Å; angles 90.00, 90.00, 90.00 degrees
Atoms (fractional coordinates):
Ti: 0.0000 0.0000 0.0000
Br: 0.5000 0.5000 0.5000
O: 0.0000 0.0000 0.5000
F: 0.0000 0.5000 0.0000
F: 0.5000 0.0000 0.0000

Tl6BrO2F | PBE | optimized geometry

## Properties
- crystal system = monoclinic
- uncorrected formation energy (eV/atom) = -0.8125
- total moment (μB/f.u.) = 0.00

Cell lengths 10.0613, 10.0613, 6.6657 Å; angles 108.28, 108.28, 86.36 degrees
Atoms (fractional coordinates):
Tl: 0.0478 0.1857 0.0431
Tl: 0.1656 0.5705 0.2263
Tl: 0.1857 0.0478 0.5431
Tl: 0.2863 0.4333 0.7203
Tl: 0.4295 0.8344 0.2737
Tl: 0.4333 0.2863 0.2203
Tl: 0.5667 0.7137 0.7797
Tl: 0.5705 0.1656 0.7263
Tl: 0.7137 0.5667 0.2797
Tl: 0.8143 0.9522 0.4569
Tl: 0.8344 0.4295 0.7737
Tl: 0.9522 0.8143 0.9569
Br: 0.1972 0.8028 0.7500
Br: 0.8028 0.1972 0.2500
O: 0.2090 0.3607 0.2989
O: 0.3607 0.2090 0.7989
O: 0.6393 0.7910 0.2011
O: 0.7910 0.6393 0.7011
F: 0.4246 0.5754 0.2500
F: 0.5754 0.4246 0.7500

TlBrOF2 | PBE | optimized geometry

## Properties
- Fermi-level density of states (states/eV/cell) = 2.72
- crystal system = tetragonal
- polymorph energy (0 for the lowest one) (meV/atom) = 0
- uncorrected formation energy (eV/atom) = -0.6186
- total moment (μB/f.u.) = 0.00

Cell lengths 4.8999, 4.8999, 3.7720 Å; angles 90.00, 90.00, 90.00 degrees
Atoms (fractional coordinates):
Tl: 0.0000 0.0000 0.0000
Br: 0.5000 0.5000 0.5000
O: 0.5000 0.5000 0.0000
F: 0.0000 0.5000 0.5000
F: 0.5000 0.0000 0.5000

TlBrOF2 | PBE | optimized geometry

## Properties
- Fermi-level density of states (states/eV/cell) = 2.07
- crystal system = tetragonal
- polymorph energy (0 for the lowest one) (meV/atom) = 36
- uncorrected formation energy (eV/atom) = -0.5823
- total moment (μB/f.u.) = 2.00

Cell lengths 4.4512, 4.4512, 4.4555 Å; angles 90.00, 90.00, 90.00 degrees
Atoms (fractional coordinates):
Tl: 0.0000 0.0000 0.0000
Br: 0.5000 0.5000 0.5000
O: 0.0000 0.0000 0.5000
F: 0.0000 0.5000 0.0000
F: 0.5000 0.0000 0.0000

Tl5Br2OF | PBE | optimized geometry

## Properties
- crystal system = orthorhombic
- uncorrected formation energy (eV/atom) = -0.9093
- total moment (μB/f.u.) = 0.00

Cell lengths 9.4705, 9.4705, 14.2724 Å; angles 90.00, 90.00, 154.05 degrees
Atoms (fractional coordinates):
Tl: 0.0069 0.9931 0.5000
Tl: 0.1633 0.8367 0.2645
Tl: 0.1880 0.8120 0.8830
Tl: 0.2096 0.7904 0.6298
Tl: 0.4336 0.5664 0.2609
Tl: 0.5664 0.4336 0.7609
Tl: 0.7904 0.2096 0.1298
Tl: 0.8120 0.1880 0.3830
Tl: 0.8367 0.1633 0.7645
Tl: 0.9931 0.0069 0.0000
Br: 0.3501 0.6499 0.9469
Br: 0.3959 0.6041 0.5814
Br: 0.6041 0.3959 0.0814
Br: 0.6499 0.3501 0.4469
O: 0.2971 0.7029 0.2642
O: 0.7029 0.2971 0.7642
F: 0.0700 0.9300 0.6563
F: 0.9300 0.0700 0.1563

UBrO5F | PBE | optimized geometry

## Properties
- Fermi-level density of states (states/eV/cell) = 0.00
- crystal system = monoclinic
- uncorrected formation energy (eV/atom) = -1.5778
- total moment (μB/f.u.) = 0.00

Cell lengths 6.8318, 6.8318, 7.1798 Å; angles 104.97, 104.97, 98.73 degrees
Atoms (fractional coordinates):
U: 0.0000 0.0000 0.0000
U: 0.0000 0.0000 0.5000
Br: 0.4510 0.5490 0.7500
Br: 0.5490 0.4510 0.2500
O: 0.1035 0.8965 0.7500
O: 0.2272 0.2384 0.6174
O: 0.2384 0.2272 0.1174
O: 0.3592 0.6383 0.9359
O: 0.3617 0.6408 0.5641
O: 0.6383 0.3592 0.4359
O: 0.6408 0.3617 0.0641
O: 0.7616 0.7728 0.8826
O: 0.7728 0.7616 0.3826
O: 0.8965 0.1035 0.2500
F: 0.1420 0.8580 0.2500
F: 0.8580 0.1420 0.7500